Entry 1:
SrCrP3 | GGA-PBE | optimized geometry

The structure in POSCAR format:
```
SrCrP3
1.0
5.2564 0.0000 0.0000
0.0000 5.2564 0.0000
0.0000 0.0000 5.2564
Sr Cr P
1 1 3
direct
0.0000 0.0000 0.0000
0.5000 0.5000 0.5000
0.0000 0.0000 0.5000
0.0000 0.5000 0.0000
0.5000 0.0000 0.0000
```

## Properties
Fermi-level density of states, states/eV per atom: 1.605
Formation enthalpy at 0 K, eV per formula unit: 10.35

***

Entry 2:
BaBe2Mo | GGA-PBE | optimized geometry

The structure in POSCAR format:
```
BaBe2Mo
1.0
4.7137 0.0000 0.0000
0.0000 4.7137 0.0000
0.0000 0.0000 16.6302
Ba Be Mo
4 8 4
direct
0.0000 0.2500 0.3750
0.0000 0.7500 0.6250
0.5000 0.2500 0.1250
0.5000 0.7500 0.8750
0.0000 0.0000 0.0000
0.0000 0.5000 0.0000
0.2500 0.2500 0.7500
0.2500 0.7500 0.2500
0.5000 0.0000 0.5000
0.5000 0.5000 0.5000
0.7500 0.2500 0.7500
0.7500 0.7500 0.2500
0.0000 0.2500 0.8750
0.0000 0.7500 0.1250
0.5000 0.2500 0.6250
0.5000 0.7500 0.3750
```

## Properties
Fermi-level density of states, states/eV per atom: 0.714
Formation enthalpy at 0 K, eV per formula unit: 3.79

***

The lowest Fermi-level density of states belongs to which entry?
BaBe2Mo